No. 1
DFT (GGA-PBE) results for a relaxed structure of Li2FeBAu.

Lattice parameters (Å, degrees): 4.1682 4.1682 4.0796 90.00 90.00 90.00
Closest atoms and distances in Å follow each position.
Element x y z (fractional)
Li 0.0000 0.5000 0.0000  2 B 2.08
Li 0.5000 0.0000 0.0000  2 B 2.08
Fe 0.0000 0.0000 0.5000  8 Li 2.92, 4 Au 2.95
B 0.5000 0.5000 0.0000  2 Au 2.04, 4 Li 2.08
Au 0.5000 0.5000 0.5000  2 B 2.04

Energy above the most stable polymorph in this dataset   0.000 eV/f.u.
Uncorrected energy   -20.02 eV for the cell shown
Spin magnetization   0.66 μB/atom
Calculated formation energy   0.445 eV/atom

No. 2
DFT (GGA-PBE) results for a relaxed structure of Li2FeBAu.

Lattice parameters (Å, degrees): 4.6877 4.6877 4.0762 90.00 90.00 90.00
Closest atoms and distances in Å follow each position.
Element x y z (fractional)
Li 0.0000 0.5000 0.0000  2 Au 2.34
Li 0.5000 0.0000 0.0000  2 Au 2.34
Fe 0.0000 0.0000 0.5000  8 Li 3.11, 4 B 3.31
B 0.5000 0.5000 0.5000  2 Au 2.04
Au 0.5000 0.5000 0.0000  2 B 2.04

Energy above the most stable polymorph in this dataset   1.623 eV/f.u.
Uncorrected energy   -18.39 eV for the cell shown
Spin magnetization   0.64 μB/atom
Calculated formation energy   0.770 eV/atom

No. 3
DFT (GGA-PBE) results for a relaxed structure of FeBP2Au.

Lattice parameters (Å, degrees): 7.0351 3.0929 7.5161 90.00 104.73 90.00
Closest atoms and distances in Å follow each position.
Element x y z (fractional)
Fe 0.0000 0.0000 0.0000  3 B 2.03-2.15, 2 P 2.18
Fe 0.5000 0.5000 0.0000  3 B 2.03-2.15, 2 P 2.18
B 0.2077 0.5000 0.9842  3 P 1.94-2.01, 3 Fe 2.03-2.15
B 0.7077 0.0000 0.9842  3 P 1.94-2.01, 3 Fe 2.03-2.15
P 0.3288 0.0000 0.1453  2 B 2.01
P 0.4652 0.0000 0.7896  1 B 1.94
P 0.8288 0.5000 0.1453  2 B 2.01
P 0.9652 0.5000 0.7896  1 B 1.94
Au 0.4009 0.0000 0.4691  2 P 2.33-2.36
Au 0.9009 0.5000 0.4691  2 P 2.33-2.36

Energy above the most stable polymorph in this dataset   0.364 eV/f.u.
Uncorrected energy   -58.88 eV for the cell shown
Spin magnetization   0.09 μB/atom
Calculated formation energy   -0.041 eV/atom

No. 4
DFT (GGA-PBE) results for a relaxed structure of FeBP2Au.

Lattice parameters (Å, degrees): 5.4734 3.1588 8.3353 90.00 102.60 90.00
Closest atoms and distances in Å follow each position.
Element x y z (fractional)
Fe 0.0000 0.0000 0.0000  3 P 2.22, 1 B 2.25
Fe 0.5000 0.5000 0.0000  3 P 2.22, 1 B 2.25
B 0.4059 0.5000 0.7239  3 P 1.88
B 0.9059 0.0000 0.7239  3 P 1.88
P 0.0904 0.5000 0.7775  3 B 1.88
P 0.2186 0.5000 0.1558  3 Fe 2.22, 1 Au 2.35
P 0.5904 0.0000 0.7775  3 B 1.88
P 0.7186 0.0000 0.1558  3 Fe 2.22, 1 Au 2.35
Au 0.3149 0.5000 0.4451  1 B 2.27, 1 P 2.35
Au 0.8149 0.0000 0.4451  1 B 2.27, 1 P 2.35

Energy above the most stable polymorph in this dataset   0.224 eV/f.u.
Uncorrected energy   -59.16 eV for the cell shown
Spin magnetization   0.17 μB/atom
Calculated formation energy   -0.069 eV/atom

> Which of these has the lowest calculated formation energy?

number 4

> Look up the calculated formation energy of the fourth one.

-0.069 eV/atom

> spin magnetization of number 2 (Li2FeBAu)?

0.64 μB/atom

> energy above the most stable polymorph in this dataset of number 4 (FeBP2Au)?

0.224 eV/f.u.